(1)
# La2BeTcC

A geometry-optimized La2BeTcC structure (PBE, Alexandria).

Structure (CIF):
```
data_La2BeTcC
_chemical_formula_sum 'La2 Be1 Tc1 C1'
_cell_length_a 5.249
_cell_length_b 5.249
_cell_length_c 4.040
_cell_angle_alpha 90.00
_cell_angle_beta 90.00
_cell_angle_gamma 90.00
_space_group_name_H-M_alt 'P 4/m m m'
_space_group_IT_number 123
_space_group_name_Hall '-P 4 2'
loop_
_atom_site_label
_atom_site_type_symbol
_atom_site_fract_x
_atom_site_fract_y
_atom_site_fract_z
_atom_site_occupancy
La1 La 0.000 0.500 0.000 1
Be1 Be 0.000 0.000 0.000 1
Tc1 Tc 0.000 0.000 0.500 1
C1 C 0.500 0.500 0.500 1
```



(2)
# LaBeTl2C

A geometry-optimized LaBeTl2C structure (PBE, Alexandria).

Structure (CIF):
```
data_LaBeTl2C
_chemical_formula_sum 'La1 Be1 Tl2 C1'
_cell_length_a 4.550
_cell_length_b 4.550
_cell_length_c 5.723
_cell_angle_alpha 90.00
_cell_angle_beta 90.00
_cell_angle_gamma 90.00
_space_group_name_H-M_alt 'P 4/m m m'
_space_group_IT_number 123
_space_group_name_Hall '-P 4 2'
loop_
_atom_site_label
_atom_site_type_symbol
_atom_site_fract_x
_atom_site_fract_y
_atom_site_fract_z
_atom_site_occupancy
La1 La 0.000 0.000 0.000 1
Be1 Be 0.000 0.000 0.500 1
Tl1 Tl 0.000 0.500 0.500 1
C1 C 0.500 0.500 0.000 1
```



(3)
# LaBeWC2

A geometry-optimized LaBeWC2 structure (PBE, Alexandria).

Structure (CIF):
```
data_LaBeWC2
_chemical_formula_sum 'La1 Be1 W1 C2'
_cell_length_a 4.169
_cell_length_b 4.169
_cell_length_c 4.340
_cell_angle_alpha 90.00
_cell_angle_beta 90.00
_cell_angle_gamma 90.00
_space_group_name_H-M_alt 'P 4/m m m'
_space_group_IT_number 123
_space_group_name_Hall '-P 4 2'
loop_
_atom_site_label
_atom_site_type_symbol
_atom_site_fract_x
_atom_site_fract_y
_atom_site_fract_z
_atom_site_occupancy
La1 La 0.000 0.000 0.000 1
Be1 Be 0.500 0.500 0.000 1
W1 W 0.500 0.500 0.500 1
C1 C 0.000 0.500 0.500 1
```



(4)
# La2BeZnC

A geometry-optimized La2BeZnC structure (PBE, Alexandria).

Structure (CIF):
```
data_La2BeZnC
_chemical_formula_sum 'La2 Be1 Zn1 C1'
_cell_length_a 5.430
_cell_length_b 5.430
_cell_length_c 3.488
_cell_angle_alpha 90.00
_cell_angle_beta 90.00
_cell_angle_gamma 90.00
_space_group_name_H-M_alt 'P 4/m m m'
_space_group_IT_number 123
_space_group_name_Hall '-P 4 2'
loop_
_atom_site_label
_atom_site_type_symbol
_atom_site_fract_x
_atom_site_fract_y
_atom_site_fract_z
_atom_site_occupancy
La1 La 0.000 0.500 0.000 1
Be1 Be 0.000 0.000 0.500 1
Zn1 Zn 0.500 0.500 0.500 1
C1 C 0.000 0.000 0.000 1
```



(5)
# LiBeC

A geometry-optimized LiBeC structure (PBE, Alexandria).

Output
- ΔE to the lowest computed polymorph (meV/atom) = 349

Structure (CIF):
```
data_LiBeC
_chemical_formula_sum 'Li4 Be4 C4'
_cell_length_a 4.591
_cell_length_b 4.591
_cell_length_c 4.591
_cell_angle_alpha 90.00
_cell_angle_beta 90.00
_cell_angle_gamma 90.00
_space_group_name_H-M_alt 'F -4 3 m'
_space_group_IT_number 216
_space_group_name_Hall 'F -4 2 3'
loop_
_atom_site_label
_atom_site_type_symbol
_atom_site_fract_x
_atom_site_fract_y
_atom_site_fract_z
_atom_site_occupancy
Li1 Li 0.000 0.000 0.000 1
Be1 Be 0.000 0.000 0.500 1
C1 C 0.250 0.250 0.750 1
```



(6)
# Li2BeC

A geometry-optimized Li2BeC structure (PBE, Alexandria).

Output
- ΔE to the lowest computed polymorph (meV/atom) = 625

Structure (CIF):
```
data_Li2BeC
_chemical_formula_sum 'Li8 Be4 C4'
_cell_length_a 5.035
_cell_length_b 5.035
_cell_length_c 5.035
_cell_angle_alpha 90.00
_cell_angle_beta 90.00
_cell_angle_gamma 90.00
_space_group_name_H-M_alt 'F m -3 m'
_space_group_IT_number 225
_space_group_name_Hall '-F 4 2 3'
loop_
_atom_site_label
_atom_site_type_symbol
_atom_site_fract_x
_atom_site_fract_y
_atom_site_fract_z
_atom_site_occupancy
Li1 Li 0.250 0.250 0.250 1
Be1 Be 0.000 0.000 0.000 1
C1 C 0.000 0.000 0.500 1
```



(7)
# LiBeC

A geometry-optimized LiBeC structure (PBE, Alexandria).

Output
- ΔE to the lowest computed polymorph (meV/atom) = 135

Structure (CIF):
```
data_LiBeC
_chemical_formula_sum 'Li2 Be2 C2'
_cell_length_a 3.169
_cell_length_b 3.169
_cell_length_c 5.029
_cell_angle_alpha 90.00
_cell_angle_beta 90.00
_cell_angle_gamma 90.00
_space_group_name_H-M_alt 'P 4/n m m'
_space_group_IT_number 129
loop_
_space_group_symop_operation_xyz
'x,y,z'
'-x,-y,-z'
'-y+1/2,x,z'
'y+1/2,-x,-z'
'-x+1/2,-y+1/2,z'
'x+1/2,y+1/2,-z'
'y,-x+1/2,z'
'-y,x+1/2,-z'
'x+1/2,-y,-z'
'-x+1/2,y,z'
'-y,-x,-z'
'y,x,z'
'-x,y+1/2,-z'
'x,-y+1/2,z'
'y+1/2,x+1/2,-z'
'-y+1/2,-x+1/2,z'
loop_
_atom_site_label
_atom_site_type_symbol
_atom_site_fract_x
_atom_site_fract_y
_atom_site_fract_z
_atom_site_occupancy
Li1 Li 0.250 0.250 0.138 1
Be1 Be 0.250 0.750 0.500 1
C1 C 0.250 0.250 0.686 1
```



(8)
# LiBeC3

A geometry-optimized LiBeC3 structure (PBE, Alexandria).

Output
- ΔE to the lowest computed polymorph (meV/atom) = 0

Structure (CIF):
```
data_LiBeC3
_chemical_formula_sum 'Li1 Be1 C3'
_cell_length_a 3.550
_cell_length_b 3.550
_cell_length_c 3.550
_cell_angle_alpha 90.00
_cell_angle_beta 90.00
_cell_angle_gamma 90.00
_space_group_name_H-M_alt 'P m -3 m'
_space_group_IT_number 221
_space_group_name_Hall '-P 4 2 3'
loop_
_atom_site_label
_atom_site_type_symbol
_atom_site_fract_x
_atom_site_fract_y
_atom_site_fract_z
_atom_site_occupancy
Li1 Li 0.000 0.000 0.000 1
Be1 Be 0.500 0.500 0.500 1
C1 C 0.000 0.500 0.500 1
```



(9)
# LiBeC

A geometry-optimized LiBeC structure (PBE, Alexandria).

Output
- ΔE to the lowest computed polymorph (meV/atom) = 0

Structure (CIF):
```
data_LiBeC
_chemical_formula_sum 'Li4 Be4 C4'
_cell_length_a 8.023
_cell_length_b 3.069
_cell_length_c 5.389
_cell_angle_alpha 90.00
_cell_angle_beta 131.86
_cell_angle_gamma 90.00
_space_group_name_H-M_alt 'C 1 2/m 1'
_space_group_IT_number 12
loop_
_space_group_symop_operation_xyz
'x,y,z'
'-x,-y,-z'
'-x,y,-z'
'x,-y,z'
'x+1/2,y+1/2,z'
'-x+1/2,-y+1/2,-z'
'-x+1/2,y+1/2,-z'
'x+1/2,-y+1/2,z'
loop_
_atom_site_label
_atom_site_type_symbol
_atom_site_fract_x
_atom_site_fract_y
_atom_site_fract_z
_atom_site_occupancy
Li1 Li 0.087 0.000 0.340 1
Be1 Be 0.222 0.500 0.846 1
C1 C 0.112 0.500 0.048 1
```



(10)
# LiBeC

A geometry-optimized LiBeC structure (PBE, Alexandria).

Output
- ΔE to the lowest computed polymorph (meV/atom) = 91

Structure (CIF):
```
data_LiBeC
_chemical_formula_sum 'Li4 Be4 C4'
_cell_length_a 4.563
_cell_length_b 7.594
_cell_length_c 3.296
_cell_angle_alpha 90.00
_cell_angle_beta 112.39
_cell_angle_gamma 90.00
_space_group_name_H-M_alt 'C 1 m 1'
_space_group_IT_number 8
loop_
_space_group_symop_operation_xyz
'x,y,z'
'x,-y,z'
'x+1/2,y+1/2,z'
'x+1/2,-y+1/2,z'
loop_
_atom_site_label
_atom_site_type_symbol
_atom_site_fract_x
_atom_site_fract_y
_atom_site_fract_z
_atom_site_occupancy
Li1 Li 0.000 0.238 0.000 1
Be1 Be 0.374 0.000 0.419 1
Be2 Be 0.386 0.500 0.508 1
C1 C 0.173 0.500 0.928 1
C2 C 0.301 0.000 0.882 1
```



(11)
# LiBeC

A geometry-optimized LiBeC structure (PBE, Alexandria).

Output
- ΔE to the lowest computed polymorph (meV/atom) = 97

Structure (CIF):
```
data_LiBeC
_chemical_formula_sum 'Li4 Be4 C4'
_cell_length_a 3.104
_cell_length_b 4.253
_cell_length_c 9.062
_cell_angle_alpha 90.00
_cell_angle_beta 90.00
_cell_angle_gamma 90.00
_space_group_name_H-M_alt 'I m m 2'
_space_group_IT_number 44
loop_
_space_group_symop_operation_xyz
'x,y,z'
'-x,-y,z'
'-x,y,z'
'x,-y,z'
'x+1/2,y+1/2,z+1/2'
'-x+1/2,-y+1/2,z+1/2'
'-x+1/2,y+1/2,z+1/2'
'x+1/2,-y+1/2,z+1/2'
loop_
_atom_site_label
_atom_site_type_symbol
_atom_site_fract_x
_atom_site_fract_y
_atom_site_fract_z
_atom_site_occupancy
Li1 Li 0.000 0.000 0.000 1
Li2 Li 0.000 0.500 0.244 1
Be1 Be 0.000 0.000 0.537 1
Be2 Be 0.000 0.500 0.835 1
C1 C 0.000 0.344 0.649 1
```



(12)
# LiBeC

A geometry-optimized LiBeC structure (PBE, Alexandria).

Output
- ΔE to the lowest computed polymorph (meV/atom) = 59

Structure (CIF):
```
data_LiBeC
_chemical_formula_sum 'Li4 Be4 C4'
_cell_length_a 7.911
_cell_length_b 3.111
_cell_length_c 5.008
_cell_angle_alpha 90.00
_cell_angle_beta 103.08
_cell_angle_gamma 90.00
_space_group_name_H-M_alt 'C 1 m 1'
_space_group_IT_number 8
loop_
_space_group_symop_operation_xyz
'x,y,z'
'x,-y,z'
'x+1/2,y+1/2,z'
'x+1/2,-y+1/2,z'
loop_
_atom_site_label
_atom_site_type_symbol
_atom_site_fract_x
_atom_site_fract_y
_atom_site_fract_z
_atom_site_occupancy
Li1 Li 0.000 0.000 0.000 1
Li2 Li 0.174 0.500 0.700 1
Be1 Be 0.260 0.500 0.291 1
Be2 Be 0.386 0.000 0.509 1
C1 C 0.164 0.000 0.395 1
C2 C 0.491 0.500 0.445 1
```



(13)
# Li2BeC

A geometry-optimized Li2BeC structure (PBE, Alexandria).

Output
- ΔE to the lowest computed polymorph (meV/atom) = 0

Structure (CIF):
```
data_Li2BeC
_chemical_formula_sum 'Li8 Be4 C4'
_cell_length_a 8.390
_cell_length_b 8.390
_cell_length_c 3.266
_cell_angle_alpha 90.00
_cell_angle_beta 90.00
_cell_angle_gamma 90.00
_space_group_name_H-M_alt 'I -4 2 d'
_space_group_IT_number 122
_space_group_name_Hall 'I -4 2bw'
loop_
_atom_site_label
_atom_site_type_symbol
_atom_site_fract_x
_atom_site_fract_y
_atom_site_fract_z
_atom_site_occupancy
Li1 Li 0.001 0.250 0.125 1
Be1 Be 0.000 0.000 0.500 1
C1 C 0.000 0.000 0.000 1
```



no.,calculated total energy (eV/atom),energy relative to the elements (meV per atom)
1,-5.4729,1161.3
2,-3.4747,1047.3
3,-7.5452,465.7
4,-4.9601,-144.3
5,-4.5131,441.6
6,-3.4711,723.3
7,-4.7273,227.3
8,-4.5876,2074.7
9,-4.8620,92.6
10,-4.7708,183.8
11,-4.7650,189.6
12,-4.8027,152.0
13,-4.0965,98.0